This record from Alexandria describes a geometry-optimized TaPd3 structure. The functional is PBE.

The structure in extended XYZ format:
```
40
Lattice="5.562 0.000 0.000 -2.781 4.817 0.000 0.000 0.000 23.402" Properties=species:S:1:pos:R:3 pbc="T T T"
Ta 0.000 0.000 5.851
Ta 0.000 0.000 17.552
Ta 0.000 3.211 1.038
Ta 0.000 3.211 10.663
Ta 0.000 3.211 15.240
Ta 0.000 3.211 19.863
Ta 2.781 1.606 3.539
Ta 2.781 1.606 8.162
Ta 2.781 1.606 12.740
Ta 2.781 1.606 22.364
Pd -1.380 2.415 17.552
Pd 0.000 1.608 3.531
Pd 0.000 1.608 8.170
Pd -1.388 4.013 3.531
Pd -1.388 4.013 8.170
Pd 0.000 1.622 12.924
Pd 0.000 1.622 22.179
Pd -1.376 4.006 12.924
Pd -1.376 4.006 22.179
Pd 1.393 0.804 15.232
Pd 1.393 0.804 19.872
Pd 1.405 0.811 1.223
Pd 1.405 0.811 10.478
Pd 1.380 2.415 17.552
Pd 0.000 4.804 17.552
Pd 2.781 0.012 5.851
Pd 1.401 2.402 5.851
Pd 1.376 4.006 12.924
Pd 1.376 4.006 22.179
Pd 1.388 4.013 3.531
Pd 1.388 4.013 8.170
Pd 4.157 0.811 1.223
Pd 4.157 0.811 10.478
Pd 2.781 3.195 1.223
Pd 2.781 3.195 10.478
Pd 4.169 0.804 15.232
Pd 4.169 0.804 19.872
Pd 2.781 3.209 15.232
Pd 2.781 3.209 19.872
Pd 4.161 2.402 5.851
```

## Properties
* formation enthalpy at 0 K: -1.63 eV/f.u.
* size of the total moment: 0.0 μB per formula unit
* electronic total energy: -290.571 eV for the cell shown

***

This record from Alexandria describes a geometry-optimized TaPd structure. The functional is PBE.

The structure in extended XYZ format:
```
2
Lattice="1.430 0.826 4.702 -1.430 0.826 4.702 0.000 -1.651 4.702" Properties=species:S:1:pos:R:3 pbc="T T T"
Ta 0.000 0.000 0.000
Pd 0.000 0.000 7.054
```

## Properties
* formation enthalpy at 0 K: -0.28 eV/f.u.
* size of the total moment: 0.0 μB per formula unit
* electronic total energy: -17.330 eV for the cell shown

***

This record from Alexandria describes a geometry-optimized TaPd3 structure. The functional is PBE.

The structure in extended XYZ format:
```
4
Lattice="-1.966 1.966 4.032 1.966 -1.966 4.032 1.966 1.966 -4.032" Properties=species:S:1:pos:R:3 pbc="T T T"
Ta 0.000 0.000 0.000
Pd 1.966 0.000 2.016
Pd 0.000 0.000 4.032
Pd 0.000 1.966 2.016
```

## Properties
* formation enthalpy at 0 K: -1.90 eV/f.u.
* size of the total moment: 0.0 μB per formula unit
* electronic total energy: -29.331 eV for the cell shown

***

This record from Alexandria describes a geometry-optimized Tb3TaPd12 structure. The functional is PBE.

The structure in extended XYZ format:
```
16
Lattice="4.089 0.000 0.000 0.000 4.089 0.000 0.000 0.000 16.347" Properties=species:S:1:pos:R:3 pbc="T T T"
Tb 0.000 0.000 0.000
Tb 0.000 0.000 4.098
Tb 0.000 0.000 12.249
Ta 0.000 0.000 8.174
Pd 0.000 2.045 2.093
Pd 0.000 2.045 6.318
Pd 0.000 2.045 10.029
Pd 0.000 2.045 14.254
Pd 2.045 0.000 2.093
Pd 2.045 0.000 6.318
Pd 2.045 0.000 10.029
Pd 2.045 0.000 14.254
Pd 2.045 2.045 0.000
Pd 2.045 2.045 4.215
Pd 2.045 2.045 8.174
Pd 2.045 2.045 12.132
```

## Properties
* formation enthalpy at 0 K: -12.62 eV/f.u.
* size of the total moment: 0.0 μB per formula unit
* electronic total energy: -100.673 eV for the cell shown

***

This record from Alexandria describes a geometry-optimized TbTaPd14 structure. The functional is PBE.

The structure in extended XYZ format:
```
16
Lattice="5.718 0.000 0.000 0.000 5.718 0.000 0.000 0.000 7.841" Properties=species:S:1:pos:R:3 pbc="T T T"
Tb 0.000 0.000 0.000
Ta 2.859 2.859 0.000
Pd 0.000 0.000 3.920
Pd 0.000 2.859 0.000
Pd 0.000 2.859 3.920
Pd 1.469 1.469 1.956
Pd 1.469 1.469 5.885
Pd 1.469 4.249 1.956
Pd 1.469 4.249 5.885
Pd 2.859 0.000 0.000
Pd 2.859 0.000 3.920
Pd 2.859 2.859 3.920
Pd 4.249 1.469 1.956
Pd 4.249 1.469 5.885
Pd 4.249 4.249 1.956
Pd 4.249 4.249 5.885
```

## Properties
* formation enthalpy at 0 K: -5.52 eV/f.u.
* size of the total moment: 0.0 μB per formula unit
* electronic total energy: -94.703 eV for the cell shown

***

This record from Alexandria describes a geometry-optimized TbTaPd6 structure. The functional is PBE.

The structure in extended XYZ format:
```
8
Lattice="4.044 0.000 0.000 0.000 4.044 0.000 0.000 0.000 8.107" Properties=species:S:1:pos:R:3 pbc="T T T"
Tb 0.000 0.000 0.000
Ta 0.000 0.000 4.054
Pd 0.000 2.022 2.158
Pd 0.000 2.022 5.949
Pd 2.022 0.000 2.158
Pd 2.022 0.000 5.949
Pd 2.022 2.022 0.000
Pd 2.022 2.022 4.054
```

## Properties
* formation enthalpy at 0 K: -5.37 eV/f.u.
* size of the total moment: 0.0 μB per formula unit
* electronic total energy: -53.015 eV for the cell shown